Record 1
First-principles (PBE) data for a relaxed LaTl3Cr crystal, as listed in the Alexandria database.

Cell lengths 5.1825, 5.1825, 5.1825 Å; angles 90.00, 90.00, 90.00 degrees
With the nearest neighbours (Å) after each atom.
Space group Pm-3m (No. 221)
One atom of each set of equivalent atoms:
La1 0.0000 0.0000 0.0000 x1  12 Tl 3.66
Tl1 0.0000 0.5000 0.5000 x3  2 Cr 2.59
Cr1 0.5000 0.5000 0.5000 x1  6 Tl 2.59

Calculated formation energy = 0.90 eV/f.u.
DOS at the Fermi energy = 0.454 states/eV per atom
Size of the total moment = 1.757 μB/cell
Density = 9.6 g cm⁻³

Record 2
First-principles (PBE) data for a relaxed LaTlCr2 crystal, as listed in the Alexandria database.

Cell lengths 4.6914, 5.3274, 7.5624 Å; angles 90.00, 90.00, 90.00 degrees
With the nearest neighbours (Å) after each atom.
Space group Imm2 (No. 44)
One atom of each set of equivalent atoms:
La1 0.0000 0.0000 0.0000 x2  4 Tl 3.13-3.17, 5 Cr 3.14-3.46
Tl1 0.0000 0.5000 0.7829 x2  5 Cr 3.06-3.30, 4 La 3.13-3.17
Cr1 0.0000 0.0000 0.5425 x2  2 Cr 2.70
Cr2 0.0000 0.5000 0.2187 x2  2 Cr 2.70

Calculated formation energy = 1.39 eV/f.u.
DOS at the Fermi energy = 0.380 states/eV per atom
Size of the total moment = 0.174 μB/cell
Density = 7.9 g cm⁻³

Record 3
First-principles (PBE) data for a relaxed La4TlCr crystal, as listed in the Alexandria database.

Cell lengths 9.2211, 9.2211, 9.2211 Å; angles 90.00, 90.00, 90.00 degrees
With the nearest neighbours (Å) after each atom.
Space group F-43m (No. 216)
One atom of each set of equivalent atoms:
La1 0.1244 0.1244 0.1244 x16  6 La 3.24-3.28
Tl1 0.2500 0.2500 0.7500 x4  12 La 3.82, 4 Cr 3.99
Cr1 0.0000 0.0000 0.5000 x4  12 La 3.82, 4 Tl 3.99

Calculated formation energy = 2.91 eV/f.u.
DOS at the Fermi energy = 1.437 states/eV per atom
Size of the total moment = 18.675 μB/cell
Density = 6.9 g cm⁻³

Record 4
First-principles (PBE) data for a relaxed LaTl3Cr crystal, as listed in the Alexandria database.

Cell lengths 6.1059, 6.1059, 6.1059 Å; angles 90.00, 90.00, 90.00 degrees
With the nearest neighbours (Å) after each atom.
Space group Pm-3m (No. 221)
One atom of each set of equivalent atoms:
La1 0.0000 0.0000 0.0000 x1  6 Tl 3.05
Tl1 0.0000 0.0000 0.5000 x3  2 La 3.05
Cr1 0.5000 0.5000 0.5000 x1  12 Tl 4.32

Calculated formation energy = 5.30 eV/f.u.
DOS at the Fermi energy = 1.807 states/eV per atom
Size of the total moment = 4.150 μB/cell
Density = 5.9 g cm⁻³

In the order shown, the computed volume values come out to 139, 189, 784, 228 Å³ per cell.